Material: Nd4ErSc3Se8
Method: DFT, PBE
State: optimized geometry

abc: 8.0300 8.0300 20.5803
angles: 90.00 90.00 120.00
Closest atoms and distances in Å follow each position.
Space group R-3m (No. 166, hexagonal axes)
One atom of each set of equivalent atoms:
Nd (0.0000, 0.0000, 0.0000)  6 Se 2.96
Nd (0.0000, 0.5000, 0.0000)  6 Se 3.01
Er (0.0000, 0.0000, 0.5000)  6 Se 2.81
Sc (0.0000, 0.5000, 0.5000)  6 Se 2.76-2.77
Se (0.0000, 0.0000, 0.2400)  3 Sc 2.77, 3 Nd 3.01
Se (0.0059, 0.5029, 0.7587)  2 Sc 2.76, 1 Er 2.81, 3 Nd 2.96-3.01

Calculated values
DOS at the Fermi energy, states/eV/cell: 28.92
Magnetization, Bohr magnetons per cell: 0.00
Total energy, eV/atom: -6.12
Formation energy from raw total energies, eV/atom: -1.7166